(1)
## CrAgPCl2 (PBE)

Data for a relaxed CrAgPCl2 crystal.

Cell lengths 5.0522, 5.0522, 4.9053 Å; angles 90.00, 90.00, 90.00 degrees
Fractional positions:
Cl 0.0000 0.5000 0.0000
Cl 0.5000 0.0000 0.0000
Ag 0.0000 0.0000 0.0000
Cr 0.5000 0.5000 0.5000
P 0.0000 0.0000 0.5000

Excess energy over the best structure of this formula in the dataset, eV per atom: 0.583
Density, g/cm3: 3.5
Raw formation energy, meV/atom: 591

---

(2)
## CrAg2PbCl6 (PBE)

Data for a relaxed CrAg2PbCl6 crystal.

Cell lengths 7.2610, 6.7451, 8.0286 Å; angles 82.99, 124.62, 121.77 degrees
Fractional positions:
Cl 0.4355 0.8696 0.6906
Cl 0.1590 0.2901 0.7268
Cl 0.8560 0.6190 0.7104
Cl 0.1369 0.3763 0.2495
Cl 0.5578 0.1262 0.2704
Cl 0.8347 0.7056 0.2342
Ag 0.3889 0.2264 0.5906
Ag 0.6037 0.7689 0.3692
Cr 0.9965 0.4979 0.4807
Pb 0.9965 0.9977 0.9801

Density, g/cm3: 4.3
Raw formation energy, meV/atom: -778

---

(3)
## CrAg2PdCl (PBE)

Data for a relaxed CrAg2PdCl crystal.

Cell lengths 4.9792, 4.9792, 4.6258 Å; angles 90.00, 90.00, 90.00 degrees
Fractional positions:
Ag 0.0000 0.5000 0.0000
Ag 0.5000 0.0000 0.0000
Pd 0.0000 0.0000 0.5000
Cl 0.0000 0.0000 0.0000
Cr 0.5000 0.5000 0.5000

Density, g/cm3: 5.9
Raw formation energy, meV/atom: 834

---

(4)
## RbCrAg2Cl6 (PBE)

Data for a relaxed RbCrAg2Cl6 crystal.

Cell lengths 7.0350, 7.0183, 7.4644 Å; angles 61.74, 61.49, 59.69 degrees
Fractional positions:
Ag 0.0092 0.0175 0.9626
Ag 0.5355 0.5331 0.3942
Cl 0.3525 0.6923 0.7936
Cl 0.1658 0.3565 0.7897
Cl 0.6919 0.1657 0.7874
Cl 0.2719 0.9634 0.2309
Cl 0.5348 0.2677 0.2307
Cl 0.9642 0.5301 0.2349
Cr 0.3268 0.3262 0.0205
Rb 0.8090 0.8091 0.5708

Density, g/cm3: 3.5
Raw formation energy, meV/atom: -987

---

(5)
## RbCr2AgCl (PBE)

Data for a relaxed RbCr2AgCl crystal.

Cell lengths 5.1249, 7.0642, 5.1249 Å; angles 90.00, 90.00, 90.00 degrees
Fractional positions:
Cr 0.0000 0.0000 0.5000
Cr 0.5000 0.0000 0.0000
Ag 0.0000 0.0000 0.0000
Cl 0.5000 0.5000 0.5000
Rb 0.0000 0.5000 0.0000

Density, g/cm3: 3.0
Raw formation energy, meV/atom: 589

---

(6)
## Rb3Cr2AgCl9 (PBE)

Data for a relaxed Rb3Cr2AgCl9 crystal.

Cell lengths 7.1489, 7.1489, 8.8307 Å; angles 90.00, 90.00, 120.00 degrees
Fractional positions:
Cl 0.5000 0.0000 0.0000
Cl 0.3503 0.1751 0.6835
Cl 0.5000 0.5000 0.0000
Cl 0.8249 0.6497 0.6835
Cl 0.8249 0.1751 0.6835
Cl 0.0000 0.5000 0.0000
Cl 0.1751 0.8249 0.3165
Cl 0.6497 0.8249 0.3165
Cl 0.1751 0.3503 0.3165
Rb 0.3333 0.6667 0.6594
Rb 0.6667 0.3333 0.3406
Rb 0.0000 0.0000 0.0000
Cr 0.3333 0.6667 0.1629
Cr 0.6667 0.3333 0.8371
Ag 0.0000 0.0000 0.5000

Density, g/cm3: 3.3
Raw formation energy, meV/atom: -1350